Entry 1:
Compound: ZrPbO3
Source: Alexandria
Functional: GGA-PBE
Structure: relaxed

## Properties
raw formation energy: -2.59 eV per formula unit
mass density: 7.63 Mg/m³
raw total energy: -5.945 eV/atom

abc: 4.2252 4.2252 4.2252
angles: 90.00 90.00 90.00
Fractional coordinates of all 5 atoms:
Zr1 0.0000 0.0000 0.0000
Pb1 0.5000 0.5000 0.5000
O1 0.0000 0.5000 0.5000
O2 0.5000 0.0000 0.5000
O3 0.5000 0.5000 0.0000

---

Entry 2:
Compound: Zr2Pb2O
Source: Alexandria
Functional: GGA-PBE
Structure: relaxed

## Properties
raw formation energy: -4.54 eV per formula unit
mass density: 9.54 Mg/m³
raw total energy: -6.802 eV/atom

abc: 6.1873 6.1873 5.5746
angles: 90.00 90.00 90.00
Fractional coordinates of all 10 atoms:
Zr1 0.1825 0.3175 0.0000
Zr2 0.3175 0.8175 0.0000
Zr3 0.6825 0.1825 0.0000
Zr4 0.8175 0.6825 0.0000
Pb1 0.1822 0.6822 0.5000
Pb2 0.3178 0.1822 0.5000
Pb3 0.6822 0.8178 0.5000
Pb4 0.8178 0.3178 0.5000
O1 0.0000 0.0000 0.0000
O2 0.5000 0.5000 0.0000

---

Entry 3:
Compound: ZrPbO3
Source: Alexandria
Functional: GGA-PBE
Structure: relaxed

## Properties
raw formation energy: -12.16 eV per formula unit
mass density: 7.73 Mg/m³
raw total energy: -7.859 eV/atom

abc: 5.9962 11.9471 8.3136
angles: 90.00 90.00 90.00
Fractional coordinates of all 40 atoms:
Zr1 0.2396 0.1237 0.2497
Zr2 0.2396 0.1237 0.7503
Zr3 0.2604 0.6237 0.2497
Zr4 0.2604 0.6237 0.7503
Zr5 0.7396 0.3763 0.2497
Zr6 0.7396 0.3763 0.7503
Zr7 0.7604 0.8763 0.2497
Zr8 0.7604 0.8763 0.7503
Pb1 0.1917 0.3754 0.0000
Pb2 0.2016 0.3698 0.5000
Pb3 0.2984 0.8698 0.5000
Pb4 0.3083 0.8754 0.0000
Pb5 0.6917 0.1246 0.0000
Pb6 0.7016 0.1302 0.5000
Pb7 0.7984 0.6302 0.5000
Pb8 0.8083 0.6246 0.0000
O1 0.0000 0.0000 0.2298
O2 0.0000 0.0000 0.7702
O3 0.0000 0.5000 0.2031
O4 0.0000 0.5000 0.7969
O5 0.0323 0.2614 0.2804
O6 0.0323 0.2614 0.7196
O7 0.2007 0.5958 0.5000
O8 0.2241 0.6567 0.0000
O9 0.2759 0.1567 0.0000
O10 0.2993 0.0958 0.5000
O11 0.4677 0.7614 0.2804
O12 0.4677 0.7614 0.7196
O13 0.5000 0.0000 0.2031
O14 0.5000 0.0000 0.7969
O15 0.5000 0.5000 0.2298
O16 0.5000 0.5000 0.7702
O17 0.5323 0.2386 0.2804
O18 0.5323 0.2386 0.7196
O19 0.7007 0.9042 0.5000
O20 0.7241 0.8433 0.0000
O21 0.7759 0.3433 0.0000
O22 0.7993 0.4042 0.5000
O23 0.9677 0.7386 0.2804
O24 0.9677 0.7386 0.7196

---

Entry 4:
Compound: Zr2PbO2
Source: Alexandria
Functional: GGA-PBE
Structure: relaxed

## Properties
raw formation energy: -9.99 eV per formula unit
mass density: 8.35 Mg/m³
raw total energy: -8.143 eV/atom

abc: 6.5913 6.5913 6.5913
angles: 147.16 147.16 47.12
Fractional coordinates of all 5 atoms:
Zr1 0.1539 0.1539 0.0000
Zr2 0.8461 0.8461 0.0000
Pb1 0.5000 0.5000 0.0000
O1 0.2500 0.7500 0.5000
O2 0.7500 0.2500 0.5000

---

Entry 5:
Compound: ZrPbO2
Source: Alexandria
Functional: GGA-PBE
Structure: relaxed

## Properties
raw formation energy: -5.46 eV per formula unit
mass density: 7.16 Mg/m³
raw total energy: -6.908 eV/atom

abc: 7.2189 7.2189 7.2189
angles: 28.69 28.69 28.69
Fractional coordinates of all 4 atoms:
Zr1 0.0000 0.0000 0.0000
Pb1 0.5000 0.5000 0.5000
O1 0.0964 0.0964 0.0964
O2 0.9036 0.9036 0.9036

---

Entry 6:
Compound: Zr2PbO
Source: Alexandria
Functional: GGA-PBE
Structure: relaxed

## Properties
energy relative to the lowest polymorph listed for this composition: 0.206 eV per formula unit
raw formation energy: -4.62 eV per formula unit
mass density: 8.93 Mg/m³
raw total energy: -7.595 eV/atom

abc: 7.3086 7.3086 7.3086
angles: 27.89 27.89 27.89
Fractional coordinates of all 4 atoms:
Zr1 0.2185 0.2185 0.2185
Zr2 0.7815 0.7815 0.7815
Pb1 0.0000 0.0000 0.0000
O1 0.5000 0.5000 0.5000

---

Entry 7:
Compound: Zr2PbO
Source: Alexandria
Functional: GGA-PBE
Structure: relaxed

## Properties
energy relative to the lowest polymorph listed for this composition: 0.000 eV per formula unit
raw formation energy: -4.82 eV per formula unit
mass density: 8.20 Mg/m³
raw total energy: -7.647 eV/atom

abc: 5.9777 5.9777 5.9777
angles: 110.24 110.24 107.94
Fractional coordinates of all 8 atoms:
Zr1 0.0075 0.6250 0.8825
Zr2 0.3750 0.2575 0.3825
Zr3 0.7425 0.1250 0.1175
Zr4 0.8750 0.9925 0.6175
Pb1 0.2500 0.7500 0.5000
Pb2 0.5000 0.5000 0.0000
O1 0.0000 0.0000 0.0000
O2 0.7500 0.2500 0.5000

---

Entry 8:
Compound: PdO
Source: Alexandria
Functional: GGA-PBE
Structure: relaxed

## Properties
raw formation energy: 0.77 eV per formula unit
mass density: 9.11 Mg/m³
raw total energy: -4.688 eV/atom

abc: 2.8155 2.8155 2.8155
angles: 90.00 90.00 90.00
Fractional coordinates of all 2 atoms:
Pd1 0.0000 0.0000 0.0000
O1 0.5000 0.5000 0.5000

---

Entry 9:
Compound: PdO
Source: Alexandria
Functional: GGA-PBE
Structure: relaxed

## Properties
raw formation energy: -0.40 eV per formula unit
mass density: 7.18 Mg/m³
raw total energy: -5.275 eV/atom

abc: 5.6430 5.6430 5.6430
angles: 97.57 97.57 137.42
Fractional coordinates of all 8 atoms:
Pd1 0.0874 0.7271 0.8144
Pd2 0.2729 0.0874 0.3603
Pd3 0.7271 0.9126 0.6397
Pd4 0.9126 0.2729 0.1856
O1 0.1775 0.3467 0.5242
O2 0.3467 0.8225 0.1692
O3 0.6533 0.1775 0.8308
O4 0.8225 0.6533 0.4758

---

Entry 10:
Compound: PdO
Source: Alexandria
Functional: GGA-PBE
Structure: relaxed

## Properties
raw formation energy: 0.05 eV per formula unit
mass density: 7.38 Mg/m³
raw total energy: -5.049 eV/atom

abc: 8.0517 6.1123 5.7680
angles: 85.28 49.16 45.56
Fractional coordinates of all 8 atoms:
Pd1 0.0142 0.7358 0.0142
Pd2 0.2642 0.9858 0.2642
Pd3 0.7358 0.0142 0.7358
Pd4 0.9858 0.2642 0.9858
O1 0.0045 0.0045 0.2455
O2 0.2455 0.2455 0.0045
O3 0.7545 0.7545 0.9955
O4 0.9955 0.9955 0.7545

---

Entry 11:
Compound: Pd3O
Source: Alexandria
Functional: GGA-PBE
Structure: relaxed

## Properties
raw formation energy: 0.79 eV per formula unit
mass density: 10.06 Mg/m³
raw total energy: -4.937 eV/atom

abc: 4.8983 4.8983 4.8983
angles: 146.42 70.41 120.14
Fractional coordinates of all 4 atoms:
Pd1 0.0000 0.0000 0.0000
Pd2 0.2825 0.4800 0.8025
Pd3 0.6774 0.4800 0.1975
O1 0.5916 0.0916 0.5000

---

Entry 12:
Compound: PdO
Source: Alexandria
Functional: GGA-PBE
Structure: relaxed

## Properties
raw formation energy: -0.24 eV per formula unit
mass density: 7.81 Mg/m³
raw total energy: -5.193 eV/atom

abc: 3.9750 9.6948 4.0517
angles: 90.00 90.00 90.00
Fractional coordinates of all 12 atoms:
Pd1 0.2500 0.0718 0.2286
Pd2 0.2500 0.4282 0.2286
Pd3 0.2500 0.7500 0.1641
Pd4 0.7500 0.2500 0.8359
Pd5 0.7500 0.5718 0.7714
Pd6 0.7500 0.9282 0.7714
O1 0.2500 0.2500 0.9548
O2 0.2500 0.5954 0.5331
O3 0.2500 0.9046 0.5331
O4 0.7500 0.0954 0.4669
O5 0.7500 0.4046 0.4669
O6 0.7500 0.7500 0.0452

---

Entry 13:
Compound: PdO
Source: Alexandria
Functional: GGA-PBE
Structure: relaxed

## Properties
raw formation energy: 0.21 eV per formula unit
mass density: 6.72 Mg/m³
raw total energy: -4.968 eV/atom

abc: 6.3644 6.3644 2.9889
angles: 90.00 90.00 90.00
Fractional coordinates of all 8 atoms:
Pd1 0.1412 0.1412 0.0000
Pd2 0.3588 0.6412 0.5000
Pd3 0.6412 0.3588 0.5000
Pd4 0.8588 0.8588 0.0000
O1 0.1972 0.8028 0.0000
O2 0.3028 0.3028 0.5000
O3 0.6972 0.6972 0.5000
O4 0.8028 0.1972 0.0000

---

Entry 14:
Compound: Pd4O
Source: Alexandria
Functional: GGA-PBE
Structure: relaxed

## Properties
raw formation energy: 0.58 eV per formula unit
mass density: 9.96 Mg/m³
raw total energy: -5.029 eV/atom

abc: 4.1915 4.1915 4.1915
angles: 90.00 90.00 90.00
Fractional coordinates of all 5 atoms:
Pd1 0.0000 0.0000 0.0000
Pd2 0.0000 0.5000 0.5000
Pd3 0.5000 0.0000 0.5000
Pd4 0.5000 0.5000 0.0000
O1 0.5000 0.5000 0.5000

---

Entry 15:
Compound: PdO
Source: Alexandria
Functional: GGA-PBE
Structure: relaxed

## Properties
raw formation energy: -0.86 eV per formula unit
mass density: 7.77 Mg/m³
raw total energy: -5.507 eV/atom

abc: 3.1001 3.1001 5.4416
angles: 90.00 90.00 90.00
Fractional coordinates of all 4 atoms:
Pd1 0.0000 0.5000 0.0000
Pd2 0.5000 0.0000 0.5000
O1 0.0000 0.0000 0.2500
O2 0.0000 0.0000 0.7500

---

Entry 16:
Compound: PdO4
Source: Alexandria
Functional: GGA-PBE
Structure: relaxed

## Properties
raw formation energy: 4.83 eV per formula unit
mass density: 4.53 Mg/m³
raw total energy: -4.038 eV/atom

abc: 3.9674 3.9674 3.9674
angles: 90.00 90.00 90.00
Fractional coordinates of all 5 atoms:
Pd1 0.0000 0.0000 0.0000
O1 0.0000 0.0000 0.5000
O2 0.0000 0.5000 0.0000
O3 0.5000 0.0000 0.0000
O4 0.5000 0.5000 0.5000

---

Entry 17:
Compound: PdO
Source: Alexandria
Functional: GGA-PBE
Structure: relaxed

## Properties
raw formation energy: -0.21 eV per formula unit
mass density: 7.18 Mg/m³
raw total energy: -5.183 eV/atom

abc: 6.9107 6.9107 4.1051
angles: 90.00 90.00 120.00
Fractional coordinates of all 12 atoms:
Pd1 0.1224 0.7051 0.2500
Pd2 0.2949 0.4173 0.2500
Pd3 0.4173 0.1224 0.7500
Pd4 0.5827 0.8776 0.2500
Pd5 0.7051 0.5827 0.7500
Pd6 0.8776 0.2949 0.7500
O1 0.0343 0.6525 0.7500
O2 0.3475 0.3818 0.7500
O3 0.3818 0.0343 0.2500
O4 0.6182 0.9657 0.7500
O5 0.6525 0.6182 0.2500
O6 0.9657 0.3475 0.2500

---

Entry 18:
Compound: PdO
Source: Alexandria
Functional: GGA-PBE
Structure: relaxed

## Properties
raw formation energy: 0.48 eV per formula unit
mass density: 5.60 Mg/m³
raw total energy: -4.834 eV/atom

abc: 6.0151 6.0151 6.0151
angles: 90.00 90.00 90.00
Fractional coordinates of all 12 atoms:
Pd1 0.0000 0.2500 0.5000
Pd2 0.0000 0.7500 0.5000
Pd3 0.2500 0.5000 0.0000
Pd4 0.5000 0.0000 0.2500
Pd5 0.5000 0.0000 0.7500
Pd6 0.7500 0.5000 0.0000
O1 0.0000 0.5000 0.2500
O2 0.0000 0.5000 0.7500
O3 0.2500 0.0000 0.5000
O4 0.5000 0.2500 0.0000
O5 0.5000 0.7500 0.0000
O6 0.7500 0.0000 0.5000

---

Entry 19:
Compound: PdO2
Source: Alexandria
Functional: GGA-PBE
Structure: relaxed

## Properties
raw formation energy: -0.40 eV per formula unit
mass density: 5.83 Mg/m³
raw total energy: -5.171 eV/atom

abc: 5.6857 5.6857 5.6857
angles: 138.85 138.85 59.60
Fractional coordinates of all 6 atoms:
Pd1 0.3750 0.6250 0.7500
Pd2 0.6250 0.3750 0.2500
O1 0.1719 0.4219 0.7500
O2 0.4219 0.1719 0.2500
O3 0.5781 0.8281 0.7500
O4 0.8281 0.5781 0.2500

---

Entry 20:
Compound: PdO
Source: Alexandria
Functional: GGA-PBE
Structure: relaxed

## Properties
raw formation energy: 0.18 eV per formula unit
mass density: 6.98 Mg/m³
raw total energy: -4.984 eV/atom

abc: 3.1103 3.1103 6.9529
angles: 90.00 90.00 120.00
Fractional coordinates of all 4 atoms:
Pd1 0.3333 0.6667 0.3372
Pd2 0.6667 0.3333 0.6628
O1 0.3333 0.6667 0.8001
O2 0.6667 0.3333 0.1999